Compound: NbCuH2
Source: Alexandria
Functional: PBE-GGA
Structure: relaxed

Properties
offset from the most stable computed form	0.000	eV/atom
electronic total energy	-5.13	eV/atom
N(E_F)	0.73	states/eV/cell

Cell lengths 4.0887, 4.0887, 5.3677 Å; angles 67.61, 67.61, 90.00 degrees
Element x y z (fractional)
Nb 0.0000 0.0000 0.0000
Nb 0.7500 0.2500 0.5000
Cu 0.2500 0.7500 0.5000
Cu 0.5000 0.5000 0.0000
H 0.8750 0.8401 0.7500
H 0.1599 0.6250 0.2500
H 0.5901 0.1250 0.2500
H 0.3750 0.4099 0.7500

Compound: Bi4TeRu2
Source: Alexandria
Functional: PBE-GGA
Structure: relaxed

Properties
electronic total energy	-4.44	eV/atom
N(E_F)	5.08	states/eV/cell
raw formation energy	0.876	eV per atom

Cell lengths 5.7630, 5.7630, 8.0125 Å; angles 68.92, 68.92, 90.00 degrees
Element x y z (fractional)
Bi 0.7702 0.7702 0.4597
Bi 0.5000 0.0000 0.0000
Bi 0.0000 0.5000 0.0000
Bi 0.2298 0.2298 0.5403
Ru 0.4146 0.4146 0.1709
Ru 0.5854 0.5854 0.8291
Te 0.0000 0.0000 0.0000

Compound: KTiNi2
Source: Alexandria
Functional: PBE-GGA
Structure: relaxed

Properties
offset from the most stable computed form	0.032	eV/atom
formation energy	784.5	meV/atom
electronic total energy	-4.35	eV/atom
N(E_F)	4.00	states/eV/cell

Cell lengths 4.5851, 4.5851, 4.5851 Å; angles 60.00, 60.00, 60.00 degrees
Element x y z (fractional)
Ni 0.7500 0.7500 0.7500
Ni 0.2500 0.2500 0.2500
K 0.0000 0.0000 0.0000
Ti 0.5000 0.5000 0.5000

Compound: NaYTm
Source: Alexandria
Functional: PBE-GGA
Structure: relaxed

Properties
offset from the most stable computed form	0.186	eV/atom
formation energy	283.2	meV/atom
electronic total energy	-3.80	eV/atom
N(E_F)	8.07	states/eV/cell

Cell lengths 4.1022, 4.1022, 11.6787 Å; angles 90.00, 90.00, 90.00 degrees
Element x y z (fractional)
Y 0.0000 0.5000 0.2640
Y 0.5000 0.0000 0.7360
Tm 0.0000 0.5000 0.5717
Tm 0.5000 0.0000 0.4283
Na 0.5000 0.5000 0.0000
Na 0.0000 0.0000 0.0000